DFT (PBE) results for an optimized crystal structure of YHoAlCr.

magnetic moment = 15.573 Bohr magnetons per cell
formation energy from the elements = -0.03 eV/atom

Structure (CIF):
```
data_YHoAlCr
_chemical_formula_sum 'Y4 Ho4 Al4 Cr4'
_space_group_name_H-M_alt 'F -4 3 m'
_space_group_IT_number 216
_space_group_name_Hall 'F -4 2 3'
_cell_length_a 7.2069
_cell_length_b 7.2069
_cell_length_c 7.2069
_cell_angle_alpha 90.00
_cell_angle_beta 90.00
_cell_angle_gamma 90.00
loop_
_atom_site_label
_atom_site_type_symbol
_atom_site_fract_x
_atom_site_fract_y
_atom_site_fract_z
Y1 Y 0.0000 0.0000 0.0000
Ho1 Ho 0.0000 0.0000 0.5000
Al1 Al 0.2500 0.2500 0.2500
Cr1 Cr 0.2500 0.2500 0.7500
```

***

DFT (PBE) results for an optimized crystal structure of ZrTeAu.

magnetic moment = 0.000 Bohr magnetons per cell
energy relative to the elements, uncorrected = -0.021 eV/atom

Structure (CIF):
```
data_ZrTeAu
_chemical_formula_sum 'Zr4 Te4 Au4'
_space_group_name_H-M_alt 'F -4 3 m'
_space_group_IT_number 216
_space_group_name_Hall 'F -4 2 3'
_cell_length_a 6.7204
_cell_length_b 6.7204
_cell_length_c 6.7204
_cell_angle_alpha 90.00
_cell_angle_beta 90.00
_cell_angle_gamma 90.00
loop_
_atom_site_label
_atom_site_type_symbol
_atom_site_fract_x
_atom_site_fract_y
_atom_site_fract_z
Zr1 Zr 0.0000 0.0000 0.0000
Te1 Te 0.2500 0.2500 0.7500
Au1 Au 0.0000 0.0000 0.5000
```

***

DFT (PBE) results for an optimized crystal structure of Cd3Rh2.

magnetic moment = 0.000 Bohr magnetons per cell
formation energy from the elements = 0.00 eV/atom

Structure (CIF):
```
data_Cd3Rh2
_chemical_formula_sum 'Cd24 Rh16'
_space_group_name_H-M_alt 'F d d 2'
_space_group_IT_number 43
_space_group_name_Hall 'F 2 -2d'
_cell_length_a 9.8238
_cell_length_b 13.9202
_cell_length_c 5.1996
_cell_angle_alpha 90.00
_cell_angle_beta 90.00
_cell_angle_gamma 90.00
loop_
_atom_site_label
_atom_site_type_symbol
_atom_site_fract_x
_atom_site_fract_y
_atom_site_fract_z
Cd1 Cd 0.0000 0.0000 0.0000
Cd2 Cd 0.0459 0.3957 0.0138
Rh1 Rh 0.0278 0.2991 0.5455
```

***

DFT (PBE) results for an optimized crystal structure of ScVSbC2.

magnetic moment = 0.130 Bohr magnetons per cell
energy relative to the elements, uncorrected = 1.961 eV/atom

Structure (CIF):
```
data_ScVSbC2
_chemical_formula_sum 'Sc1 V1 Sb1 C2'
_space_group_name_H-M_alt 'P 4/m m m'
_space_group_IT_number 123
_space_group_name_Hall '-P 4 2'
_cell_length_a 4.1412
_cell_length_b 4.1412
_cell_length_c 5.5152
_cell_angle_alpha 90.00
_cell_angle_beta 90.00
_cell_angle_gamma 90.00
loop_
_atom_site_label
_atom_site_type_symbol
_atom_site_fract_x
_atom_site_fract_y
_atom_site_fract_z
Sc1 Sc 0.0000 0.0000 0.0000
V1 V 0.5000 0.5000 0.5000
Sb1 Sb 0.0000 0.0000 0.5000
C1 C 0.0000 0.5000 0.0000
```